[1]
DFT (GGA-PBE) results for crystalline HfAsOsO at its relaxed geometry.

The structure in extended XYZ format:
```
8
Lattice="-3.966 -1.247 0.203 1.313 -3.508 4.099 -1.047 3.934 3.702" Properties=species:S:1:pos:R:3 pbc="T T T"
As -0.103 0.721 2.421
As 0.068 0.831 6.441
Hf 0.551 -1.025 4.455
Hf -0.583 2.571 4.401
O -1.443 -1.641 4.396
O -2.517 1.796 4.529
Os -0.814 -3.639 4.405
Os -2.559 1.590 2.444
```

Space group: No. 26
ρ, g/cm³: 12.00
Relative energy among the computed polymorphs, kcal/mol of atoms: 7.42

[2]
DFT (GGA-PBE) results for crystalline HfAsOsO at its relaxed geometry.

The structure in extended XYZ format:
```
8
Lattice="4.100 0.000 0.000 0.000 4.100 0.000 0.000 0.000 6.756" Properties=species:S:1:pos:R:3 pbc="T T T"
As 3.075 3.075 2.048
As 1.025 1.025 4.708
Hf 1.025 1.025 0.903
Hf 3.075 3.075 5.854
O 3.075 1.025 0.000
O 1.025 3.075 0.000
Os 3.075 1.025 3.378
Os 1.025 3.075 3.378
```

Space group: No. 129
ρ, g/cm³: 13.44
Relative energy among the computed polymorphs, kcal/mol of atoms: 0.00

[3]
DFT (GGA-PBE) results for crystalline HfAsOsO at its relaxed geometry.

The structure in extended XYZ format:
```
8
Lattice="-0.222 2.636 3.121 -3.790 -1.301 0.829 2.557 -4.766 4.208" Properties=species:S:1:pos:R:3 pbc="T T T"
As -1.308 -1.744 1.380
As 1.859 -2.355 4.803
Hf 1.278 -2.383 2.104
Hf -0.728 -1.715 4.079
O 0.000 0.000 0.000
O -2.006 0.668 1.975
Os 0.279 0.591 2.203
Os 0.271 -4.689 3.980
```

Space group: No. 129
ρ, g/cm³: 13.31
Relative energy among the computed polymorphs, kcal/mol of atoms: 30.47

[4]
DFT (GGA-PBE) results for crystalline HfAsOsO at its relaxed geometry.

The structure in extended XYZ format:
```
8
Lattice="4.201 0.000 0.000 0.000 4.737 0.000 0.000 0.000 6.133" Properties=species:S:1:pos:R:3 pbc="T T T"
As 0.000 1.748 1.836
As 0.000 2.990 4.903
Hf 2.101 3.467 0.640
Hf 2.101 1.270 3.706
O 2.101 4.354 2.491
O 2.101 0.384 5.557
Os 0.000 4.103 2.725
Os 0.000 0.634 5.792
```

Space group: No. 26
ρ, g/cm³: 12.50
Relative energy among the computed polymorphs, kcal/mol of atoms: 9.08

[5]
DFT (GGA-PBE) results for crystalline HfAsOsO at its relaxed geometry.

The structure in extended XYZ format:
```
8
Lattice="-3.655 0.498 -1.796 0.043 -3.930 -1.177 -3.049 -1.744 5.736" Properties=species:S:1:pos:R:3 pbc="T T T"
As -3.313 -2.920 -1.097
As -3.348 -2.256 3.860
Hf -2.016 -1.494 1.359
Hf -4.645 -3.682 1.404
O -4.252 -1.484 1.227
O -2.409 -3.692 1.536
Os -2.730 -0.609 -1.641
Os -0.882 -2.823 -1.332
```

Space group: No. 12
ρ, g/cm³: 13.48
Relative energy among the computed polymorphs, kcal/mol of atoms: 0.01

[6]
DFT (GGA-PBE) results for crystalline HfAsPbO at its relaxed geometry.

The structure in extended XYZ format:
```
8
Lattice="-0.181 -4.320 -1.044 1.927 0.865 -3.914 8.041 -1.228 3.688" Properties=species:S:1:pos:R:3 pbc="T T T"
As 3.697 0.015 -0.703
As 5.217 -2.971 1.912
Hf 4.021 -0.614 1.844
Hf 4.894 -2.341 -0.635
O 0.000 0.000 0.000
O 0.873 -1.727 -2.479
Pb 0.803 -2.296 -0.112
Pb 8.111 -0.659 1.321
```

Space group: No. 129
ρ, g/cm³: 8.96
Relative energy among the computed polymorphs, kcal/mol of atoms: 13.24

[7]
DFT (GGA-PBE) results for crystalline HfAsPbO at its relaxed geometry.

The structure in extended XYZ format:
```
8
Lattice="-1.731 0.563 3.364 -3.149 -7.881 -0.301 4.506 -1.901 2.636" Properties=species:S:1:pos:R:3 pbc="T T T"
As -0.707 -7.346 0.866
As 3.625 -3.094 2.383
Hf 1.469 -1.940 1.080
Hf 1.476 -8.511 2.184
O 0.402 -2.181 2.746
O 0.824 -7.712 3.889
Pb -0.568 -5.263 2.762
Pb 2.241 -4.819 4.134
```

Space group: No. 26
ρ, g/cm³: 8.77
Relative energy among the computed polymorphs, kcal/mol of atoms: 1.08

[8]
DFT (GGA-PBE) results for crystalline HfAsPbO at its relaxed geometry.

The structure in extended XYZ format:
```
8
Lattice="4.092 0.000 0.000 0.000 4.092 0.000 0.000 0.000 9.506" Properties=species:S:1:pos:R:3 pbc="T T T"
As 3.069 3.069 2.230
As 1.023 1.023 7.276
Hf 1.023 1.023 0.786
Hf 3.069 3.069 8.720
O 3.069 1.023 0.000
O 1.023 3.069 0.000
Pb 3.069 1.023 4.753
Pb 1.023 3.069 4.753
```

Space group: No. 129
ρ, g/cm³: 9.94
Relative energy among the computed polymorphs, kcal/mol of atoms: 5.42